{
  "formula": "Sc3TaP",
  "functional": "PBE-GGA",
  "state": "optimized geometry",
  "lattice_angstrom": [[4.8503, 0.0000, 0.0000], [0.0000, 4.8503, 0.0000], [0.0000, 0.0000, 4.8503]],
  "species": ["Sc", "Sc", "Sc", "Ta", "P"],
  "fractional_positions": [[0.0000, 0.0000, 0.5000], [0.0000, 0.5000, 0.0000], [0.5000, 0.0000, 0.0000], [0.5000, 0.5000, 0.5000], [0.0000, 0.0000, 0.0000]],
  "sg": "Pm-3m",
  "n_ef_per_ev_cell": 8.91,
  "e_form_ev_per_atom": 0.040
}

=====

{
  "formula": "Tm2MnGa",
  "functional": "PBE-GGA",
  "state": "optimized geometry",
  "lattice_angstrom": [[3.4889, 0.0000, 0.0000], [0.0000, 3.4889, 0.0000], [0.0000, 0.0000, 7.0703]],
  "species": ["Tm", "Tm", "Mn", "Ga"],
  "fractional_positions": [[0.0000, 0.0000, 0.2425], [0.0000, 0.0000, 0.7575], [0.5000, 0.5000, 0.0000], [0.5000, 0.5000, 0.5000]],
  "sg": "P4/mmm",
  "n_ef_per_ev_cell": 3.49,
  "e_form_ev_per_atom": -0.227
}

=====

{
  "formula": "Nd8Zn2Pd",
  "functional": "PBE-GGA",
  "state": "optimized geometry",
  "lattice_angstrom": [[9.1678, -2.6106, 0.0000], [9.1678, 2.6106, 0.0000], [-1.3857, 0.0000, 6.7653]],
  "species": ["Nd", "Nd", "Nd", "Nd", "Nd", "Nd", "Nd", "Nd", "Zn", "Zn", "Pd"],
  "fractional_positions": [[0.0272, 0.0272, 0.2741], [0.2013, 0.2013, 0.8176], [0.3408, 0.3408, 0.5377], [0.4094, 0.4094, 0.0524], [0.5906, 0.5906, 0.9476], [0.6592, 0.6592, 0.4623], [0.7987, 0.7987, 0.1824], [0.9728, 0.9728, 0.7259], [0.1927, 0.1927, 0.2435], [0.8073, 0.8073, 0.7565], [0.5000, 0.5000, 0.5000]],
  "sg": "C2/m",
  "n_ef_per_ev_cell": 11.36,
  "e_form_ev_per_atom": -0.212
}

=====

{
  "formula": "La2HoPu3Se6",
  "functional": "PBE-GGA",
  "state": "optimized geometry",
  "lattice_angstrom": [[9.1214, -2.0883, 0.0000], [9.1214, 2.0883, 0.0000], [-1.8579, 0.0000, 8.1899]],
  "species": ["La", "La", "Ho", "Pu", "Pu", "Pu", "Se", "Se", "Se", "Se", "Se", "Se"],
  "fractional_positions": [[0.1652, 0.1652, 0.3348], [0.8348, 0.8348, 0.6652], [0.5000, 0.5000, 0.0000], [0.1690, 0.1690, 0.8362], [0.5000, 0.5000, 0.5000], [0.8310, 0.8310, 0.1638], [0.0040, 0.0040, 0.7578], [0.3352, 0.3352, 0.4076], [0.3362, 0.3362, 0.9258], [0.6638, 0.6638, 0.0742], [0.6648, 0.6648, 0.5924], [0.9960, 0.9960, 0.2422]],
  "formation_energy_uncorrected_ev_per_fu": -20.62,
  "sg": "C2/m",
  "n_ef_per_ev_cell": 29.99
}

=====

{
  "formula": "ZrReSe2",
  "functional": "PBE-GGA",
  "state": "optimized geometry",
  "lattice_angstrom": [[7.7810, 0.0000, 0.0000], [0.0000, 3.2440, 0.0000], [-1.2041, 0.0000, 5.7466]],
  "species": ["Zr", "Zr", "Re", "Re", "Se", "Se", "Se", "Se"],
  "fractional_positions": [[0.0000, 0.0000, 0.0000], [0.5000, 0.5000, 0.0000], [0.0000, 0.5000, 0.5000], [0.5000, 0.0000, 0.5000], [0.2446, 0.0000, 0.7197], [0.2554, 0.5000, 0.2803], [0.7446, 0.5000, 0.7197], [0.7554, 0.0000, 0.2803]],
  "formation_energy_uncorrected_ev_per_fu": -0.49,
  "sg": "C2/m",
  "n_ef_per_ev_cell": 5.69
}

=====

{
  "formula": "CaTb3Nd7",
  "functional": "PBE-GGA",
  "state": "optimized geometry",
  "lattice_angstrom": [[5.9345, -5.1412, 0.0000], [5.9345, 5.1412, 0.0000], [-0.5811, 0.0000, 6.5536]],
  "species": ["Ca", "Tb", "Tb", "Tb", "Nd", "Nd", "Nd", "Nd", "Nd", "Nd", "Nd"],
  "fractional_positions": [[0.0000, 0.0000, 0.0000], [0.3325, 0.6675, 0.5000], [0.5000, 0.5000, 0.0000], [0.6675, 0.3325, 0.5000], [0.0000, 0.0000, 0.5000], [0.0752, 0.4210, 0.7554], [0.2663, 0.2663, 0.2914], [0.4210, 0.0752, 0.7554], [0.5790, 0.9248, 0.2446], [0.7337, 0.7337, 0.7086], [0.9248, 0.5790, 0.2446]],
  "sg": "C2/m",
  "n_ef_per_ev_cell": 14.89,
  "e_form_ev_per_atom": 0.225
}

=====

{
  "formula": "Si2HgW",
  "functional": "PBE-GGA",
  "state": "optimized geometry",
  "lattice_angstrom": [[2.7770, 0.0000, 0.0000], [0.0000, 4.6819, 0.0000], [0.0000, 0.0000, 5.2708]],
  "species": ["Si", "Si", "Hg", "W"],
  "fractional_positions": [[0.0000, 0.0000, 0.0000], [0.5000, 0.0000, 0.5000], [0.0000, 0.5000, 0.5000], [0.5000, 0.5000, 0.0000]],
  "formation_energy_uncorrected_ev_per_fu": 3.11,
  "sg": "Pmmm",
  "n_ef_per_ev_cell": 2.56
}

=====

{
  "formula": "HoThAg2",
  "functional": "PBE-GGA",
  "state": "optimized geometry",
  "lattice_angstrom": [[7.3897, 0.0000, 0.0000], [0.0000, 7.3897, 0.0000], [0.0000, 0.0000, 7.3897]],
  "species": ["Ho", "Ho", "Ho", "Ho", "Th", "Th", "Th", "Th", "Ag", "Ag", "Ag", "Ag", "Ag", "Ag", "Ag", "Ag"],
  "fractional_positions": [[0.0000, 0.0000, 0.0000], [0.0000, 0.5000, 0.5000], [0.5000, 0.0000, 0.5000], [0.5000, 0.5000, 0.0000], [0.0000, 0.0000, 0.5000], [0.0000, 0.5000, 0.0000], [0.5000, 0.0000, 0.0000], [0.5000, 0.5000, 0.5000], [0.2500, 0.2500, 0.2500], [0.2500, 0.2500, 0.7500], [0.2500, 0.7500, 0.2500], [0.2500, 0.7500, 0.7500], [0.7500, 0.2500, 0.2500], [0.7500, 0.2500, 0.7500], [0.7500, 0.7500, 0.2500], [0.7500, 0.7500, 0.7500]],
  "sg": "Fm-3m",
  "n_ef_per_ev_cell": 20.96,
  "e_form_ev_per_atom": -0.139
}

=====

{
  "formula": "ScUP2Ru5",
  "functional": "PBE-GGA",
  "state": "optimized geometry",
  "lattice_angstrom": [[4.0937, 0.0000, 0.0000], [0.0000, 4.0937, 0.0000], [0.0000, 0.0000, 8.3123]],
  "species": ["Sc", "U", "P", "P", "Ru", "Ru", "Ru", "Ru", "Ru"],
  "fractional_positions": [[0.0000, 0.0000, 0.0000], [0.0000, 0.0000, 0.5000], [0.5000, 0.5000, 0.3619], [0.5000, 0.5000, 0.6381], [0.0000, 0.5000, 0.2343], [0.0000, 0.5000, 0.7657], [0.5000, 0.0000, 0.2343], [0.5000, 0.0000, 0.7657], [0.5000, 0.5000, 0.0000]],
  "sg": "P4/mmm",
  "n_ef_per_ev_cell": 10.26,
  "e_form_ev_per_atom": -0.534
}

=====

{
  "formula": "CdGaHRh2",
  "functional": "PBE-GGA",
  "state": "optimized geometry",
  "lattice_angstrom": [[4.0852, 0.0000, 0.0000], [0.0000, 4.0852, 0.0000], [0.0000, 0.0000, 3.8991]],
  "species": ["Cd", "Ga", "H", "Rh", "Rh"],
  "fractional_positions": [[0.0000, 0.0000, 0.0000], [0.5000, 0.5000, 0.0000], [0.0000, 0.0000, 0.5000], [0.0000, 0.5000, 0.5000], [0.5000, 0.0000, 0.5000]],
  "sg": "P4/mmm",
  "n_ef_per_ev_cell": 1.34,
  "total_energy_ev_per_atom": -4.54
}

=====

{
  "formula": "HoLuC",
  "functional": "PBE-GGA",
  "state": "optimized geometry",
  "lattice_angstrom": [[3.5232, 0.0000, 0.0000], [-1.7616, 3.0512, 0.0000], [0.0000, 0.0000, 6.1018]],
  "species": ["Ho", "Lu", "C"],
  "fractional_positions": [[0.0000, 0.0000, 0.0000], [0.3333, 0.6667, 0.4355], [0.6667, 0.3333, 0.2226]],
  "sg": "P3m1",
  "n_ef_per_ev_cell": 2.03,
  "e_form_ev_per_atom": -0.309
}

=====

{
  "formula": "AcPmZn2Si2",
  "functional": "PBE-GGA",
  "state": "optimized geometry",
  "lattice_angstrom": [[4.2264, 0.0000, 0.0000], [-2.1132, 3.6602, 0.0000], [0.0000, 0.0000, 8.8065]],
  "species": ["Ac", "Pm", "Zn", "Zn", "Si", "Si"],
  "fractional_positions": [[0.0000, 0.0000, 0.0000], [0.0000, 0.0000, 0.5000], [0.3333, 0.6667, 0.7350], [0.6667, 0.3333, 0.2650], [0.3333, 0.6667, 0.2678], [0.6667, 0.3333, 0.7322]],
  "formation_energy_uncorrected_ev_per_fu": -3.60,
  "sg": "P-3m1",
  "n_ef_per_ev_cell": 4.15
}

=====

> Number 7 is which compound?

Si2HgW